# Er5Te2Ir2, optimized geometry, DFT PBE
data_Er5Te2Ir2
_cell_length_a 15.555
_cell_length_b 7.732
_cell_length_c 7.710
_cell_angle_alpha 90.00
_cell_angle_beta 90.00
_cell_angle_gamma 90.00
_space_group_name_H-M_alt 'C m c e'
_space_group_IT_number 64
_space_group_name_Hall '-C 2ac 2'
loop_
_atom_site_label
_atom_site_fract_x
_atom_site_fract_y
_atom_site_fract_z
Er1 0.000 0.000 0.000
Er2 0.116 0.159 0.342
Te1 0.210 0.000 0.000
Ir1 0.000 0.140 0.638
# DOS at the Fermi energy: 0.693 states/eV per atom
# E_tot: -226.104 eV/cell
# formation energy from raw total energies: -1078 meV per atom
# size of the total moment: 0.00 μB per formula unit

# Er4Te3Ir, optimized geometry, DFT PBE
data_Er4Te3Ir
_cell_length_a 6.003
_cell_length_b 9.919
_cell_length_c 9.080
_cell_angle_alpha 90.00
_cell_angle_beta 90.00
_cell_angle_gamma 90.00
_space_group_name_H-M_alt 'P m m n'
_space_group_IT_number 59
loop_
_space_group_symop_operation_xyz
'x,y,z'
'-x,-y,-z'
'-x+1/2,-y+1/2,z'
'x+1/2,y+1/2,-z'
'x+1/2,-y,-z'
'-x+1/2,y,z'
'-x,y+1/2,-z'
'x,-y+1/2,z'
loop_
_atom_site_label
_atom_site_fract_x
_atom_site_fract_y
_atom_site_fract_z
Er1 0.250 0.040 0.192
Er2 0.250 0.250 0.646
Er3 0.250 0.750 0.643
Te1 0.250 0.002 0.851
Te2 0.250 0.750 0.303
Ir1 0.250 0.250 0.361
# DOS at the Fermi energy: 1.067 states/eV per atom
# E_tot: -87.410 eV/cell
# formation energy from raw total energies: -896 meV per atom
# size of the total moment: 0.38 μB per formula unit

# Er4TeIr2, optimized geometry, DFT PBE
data_Er4TeIr2
_cell_length_a 11.947
_cell_length_b 11.955
_cell_length_c 11.980
_cell_angle_alpha 90.00
_cell_angle_beta 90.00
_cell_angle_gamma 90.00
_space_group_name_H-M_alt 'F d d d'
_space_group_IT_number 70
loop_
_space_group_symop_operation_xyz
'x,y,z'
'-x,-y,-z'
'-x+1/4,-y+1/4,z'
'x+1/4,y+1/4,-z'
'x,-y+1/4,-z+1/4'
'-x,y+1/4,z+1/4'
'-x+1/4,y,-z+1/4'
'x+1/4,-y,z+1/4'
'x,y+1/2,z+1/2'
'-x,-y+1/2,-z+1/2'
'-x+1/4,-y+3/4,z+1/2'
'x+1/4,y+3/4,-z+1/2'
'x,-y+3/4,-z+3/4'
'-x,y+3/4,z+3/4'
'-x+1/4,y+1/2,-z+3/4'
'x+1/4,-y+1/2,z+3/4'
'x+1/2,y,z+1/2'
'-x+1/2,-y,-z+1/2'
'-x+3/4,-y+1/4,z+1/2'
'x+3/4,y+1/4,-z+1/2'
'x+1/2,-y+1/4,-z+3/4'
'-x+1/2,y+1/4,z+3/4'
'-x+3/4,y,-z+3/4'
'x+3/4,-y,z+3/4'
'x+1/2,y+1/2,z'
'-x+1/2,-y+1/2,-z'
'-x+3/4,-y+3/4,z'
'x+3/4,y+3/4,-z'
'x+1/2,-y+3/4,-z+1/4'
'-x+1/2,y+3/4,z+1/4'
'-x+3/4,y+1/2,-z+1/4'
'x+3/4,-y+1/2,z+1/4'
loop_
_atom_site_label
_atom_site_fract_x
_atom_site_fract_y
_atom_site_fract_z
Er1 0.020 0.020 0.230
Te1 0.125 0.125 0.625
Ir1 0.000 0.000 0.000
# DOS at the Fermi energy: 0.102 states/eV per atom
# E_tot: -359.706 eV/cell
# formation energy from raw total energies: -835 meV per atom
# size of the total moment: 0.00 μB per formula unit

# ErTe2Ir, optimized geometry, DFT PBE
data_ErTe2Ir
_cell_length_a 3.9875
_cell_length_b 3.9875
_cell_length_c 26.4391
_cell_angle_alpha 90.00
_cell_angle_beta 90.00
_cell_angle_gamma 120.00
_space_group_name_H-M_alt 'R -3 m'
_space_group_IT_number 166
_space_group_name_Hall '-R 3 2"'
loop_
_atom_site_label
_atom_site_fract_x
_atom_site_fract_y
_atom_site_fract_z
Er1 0.0000 0.0000 0.0000
Te1 0.0000 0.0000 0.1153
Ir1 0.0000 0.0000 0.5000
# DOS at the Fermi energy: 0.262 states/eV per atom
# E_tot: -61.243 eV/cell
# formation energy from raw total energies: -177 meV per atom
# size of the total moment: 0.00 μB per formula unit